No. 1
A plane-wave DFT calculation with meta-GGA SCAN was carried out for a PBEsol-optimized structure of CaAsPb3.

Output
magnetic moment	0.00	μB/atom
SG	Pm-3m (221)
crystal system	cubic
formation energy from the elements	0.79	eV per formula unit

Cell lengths 5.5402, 5.5402, 5.5402 Å; angles 90.00, 90.00, 90.00 degrees
Closest atoms and distances in Å follow each position.
Sites, in units of the cell vectors:
Pb 0.0000 0.5000 0.0000  2 As 2.77
Pb 0.0000 0.0000 0.5000  2 As 2.77
Pb 0.5000 0.0000 0.0000  2 As 2.77
As 0.0000 0.0000 0.0000  6 Pb 2.77
Ca 0.5000 0.5000 0.5000  12 Pb 3.92

---

No. 2
A plane-wave DFT calculation with meta-GGA SCAN was carried out for a PBEsol-optimized structure of CaAs2Pd2.

Output
magnetic moment	0.00	μB/atom
SG	I4/mmm (139)
crystal system	tetragonal
formation energy from the elements	-3.55	eV per formula unit

Cell lengths 4.6226, 4.6226, 5.5979 Å; angles 114.39, 114.39, 90.00 degrees
Closest atoms and distances in Å follow each position.
Sites, in units of the cell vectors:
As 0.2500 0.7500 0.5000  4 Pd 2.50
As 0.7500 0.2500 0.5000  4 Pd 2.50
Ca 0.0000 0.0000 0.0000  10 Pd 3.22-3.53, 8 As 3.24
Pd 0.3540 0.3540 0.7080  4 As 2.50, 1 Pd 2.65
Pd 0.6460 0.6460 0.2920  4 As 2.50, 1 Pd 2.65

---

No. 3
A plane-wave DFT calculation with meta-GGA SCAN was carried out for a PBEsol-optimized structure of CaAs2Pd2.

Output
magnetic moment	0.00	μB/atom
SG	I4/mmm (139)
crystal system	tetragonal
formation energy from the elements	-4.17	eV per formula unit

Cell lengths 4.2793, 4.2793, 5.8950 Å; angles 111.28, 111.28, 90.00 degrees
Closest atoms and distances in Å follow each position.
Sites, in units of the cell vectors:
As 0.3787 0.3787 0.7575  1 As 2.45, 4 Pd 2.50
As 0.6213 0.6213 0.2425  1 As 2.45, 4 Pd 2.50
Ca 0.0000 0.0000 0.0000  8 As 3.27, 8 Pd 3.31
Pd 0.2500 0.7500 0.5000  4 As 2.50
Pd 0.7500 0.2500 0.5000  4 As 2.50

---

No. 4
A plane-wave DFT calculation with meta-GGA SCAN was carried out for a PBEsol-optimized structure of CaAsPt2.

Output
magnetic moment	0.00	μB/atom
SG	P4/mmm (123)
crystal system	tetragonal
formation energy from the elements	-2.01	eV per formula unit

Cell lengths 3.1654, 3.1654, 7.1800 Å; angles 90.00, 90.00, 90.00 degrees
Closest atoms and distances in Å follow each position.
Sites, in units of the cell vectors:
As 0.5000 0.5000 0.0000  8 Pt 2.70
Ca 0.5000 0.5000 0.5000  8 Pt 3.06, 4 Ca 3.17
Pt 0.0000 0.0000 0.7906  4 As 2.70, 1 Pt 3.01
Pt 0.0000 0.0000 0.2094  4 As 2.70, 1 Pt 3.01

---

No. 5
A plane-wave DFT calculation with meta-GGA SCAN was carried out for a PBEsol-optimized structure of CaAs2Pt.

Output
magnetic moment	0.00	μB/atom
SG	P2/m (10)
crystal system	monoclinic
formation energy from the elements	-3.76	eV per formula unit

Cell lengths 3.9925, 4.5954, 4.6704 Å; angles 100.35, 90.00, 90.00 degrees
Closest atoms and distances in Å follow each position.
Sites, in units of the cell vectors:
As 0.0000 0.3418 0.2473  2 Pt 2.48, 1 As 2.54
As 0.0000 0.6582 0.7527  2 Pt 2.48, 1 As 2.54
Ca 0.5000 0.0000 0.5000  4 As 2.92, 2 Pt 2.97
Pt 0.5000 0.5000 0.0000  4 As 2.48

---

No. 6
A plane-wave DFT calculation with meta-GGA SCAN was carried out for a PBEsol-optimized structure of CaAsPt.

Output
magnetic moment	0.00	μB/atom
SG	F-43m (216)
crystal system	cubic
formation energy from the elements	-2.50	eV per formula unit

Cell lengths 4.4849, 4.4849, 4.4849 Å; angles 60.00, 60.00, 60.00 degrees
Closest atoms and distances in Å follow each position.
Sites, in units of the cell vectors:
As 0.0000 0.0000 0.0000  4 Pt 2.75
Ca 0.5000 0.5000 0.5000  4 Pt 2.75
Pt 0.2500 0.2500 0.2500  4 As 2.75, 4 Ca 2.75

---

No. 7
A plane-wave DFT calculation with meta-GGA SCAN was carried out for a PBEsol-optimized structure of CaAsPt.

Output
magnetic moment	0.00	μB/atom
SG	I4_1md (109)
crystal system	tetragonal
formation energy from the elements	-3.66	eV per formula unit

Cell lengths 4.1095, 4.1095, 7.9701 Å; angles 104.93, 104.93, 90.00 degrees
Closest atoms and distances in Å follow each position.
Sites, in units of the cell vectors:
As 0.2494 0.2494 0.4988  3 Pt 2.42-2.43
As 0.4994 0.9994 0.9988  3 Pt 2.42-2.43
Ca 0.6691 0.6691 0.3381  6 As 3.14-3.25, 6 Pt 3.15-3.22
Ca 0.9191 0.4191 0.8381  6 As 3.14-3.25, 6 Pt 3.15-3.22
Pt 0.3363 0.8363 0.6726  3 As 2.42-2.43
Pt 0.0863 0.0863 0.1726  3 As 2.42-2.43

---

No. 8
A plane-wave DFT calculation with meta-GGA SCAN was carried out for a PBEsol-optimized structure of CaRe4As.

Output
magnetic moment	0.00	μB/atom
SG	F-43m (216)
crystal system	cubic
formation energy from the elements	2.94	eV per formula unit

Cell lengths 5.2733, 5.2733, 5.2733 Å; angles 60.00, 60.00, 60.00 degrees
Closest atoms and distances in Å follow each position.
Sites, in units of the cell vectors:
As 0.7500 0.7500 0.7500  12 Re 3.09, 4 Ca 3.23
Ca 0.0000 0.0000 0.0000  12 Re 3.09, 4 As 3.23
Re 0.3756 0.3756 0.3756  6 Re 2.62-2.65
Re 0.3756 0.3756 0.8731  6 Re 2.62-2.65
Re 0.8731 0.3756 0.3756  6 Re 2.62-2.65
Re 0.3756 0.8731 0.3756  6 Re 2.62-2.65

---

No. 9
A plane-wave DFT calculation with meta-GGA SCAN was carried out for a PBEsol-optimized structure of CaReAs4.

Output
magnetic moment	0.24	μB/atom
SG	F-43m (216)
crystal system	cubic
formation energy from the elements	3.73	eV per formula unit

Cell lengths 5.4417, 5.4417, 5.4417 Å; angles 60.00, 60.00, 60.00 degrees
Closest atoms and distances in Å follow each position.
Sites, in units of the cell vectors:
Re 0.0000 0.0000 0.0000  12 As 3.19, 4 Ca 3.33
As 0.3739 0.3739 0.3739  6 As 2.70-2.74
As 0.3739 0.3739 0.8783  6 As 2.70-2.74
As 0.8783 0.3739 0.3739  6 As 2.70-2.74
As 0.3739 0.8783 0.3739  6 As 2.70-2.74
Ca 0.7500 0.7500 0.7500  12 As 3.19, 4 Re 3.33

---

No. 10
A plane-wave DFT calculation with meta-GGA SCAN was carried out for a PBEsol-optimized structure of Ca2ReAs.

Output
magnetic moment	0.00	μB/atom
SG	Cmmm (65)
crystal system	orthorhombic
formation energy from the elements	0.72	eV per formula unit

Cell lengths 2.8385, 5.4295, 5.4295 Å; angles 109.16, 90.00, 90.00 degrees
Closest atoms and distances in Å follow each position.
Sites, in units of the cell vectors:
Re 0.5000 0.0000 0.0000  2 Re 2.84, 8 Ca 3.06, 2 As 3.15
As 0.5000 0.5000 0.5000  2 As 2.84, 8 Ca 3.06, 2 Re 3.15
Ca 0.0000 0.5000 0.0000  4 Ca 2.84-3.15, 4 As 3.06, 4 Re 3.06
Ca 0.0000 0.0000 0.5000  4 Ca 2.84-3.15, 4 Re 3.06, 4 As 3.06

---

No. 11
A plane-wave DFT calculation with meta-GGA SCAN was carried out for a PBEsol-optimized structure of CaReAsSe2.

Output
magnetic moment	0.60	μB/atom
SG	P4/mmm (123)
E	-26.84	eV per atom
crystal system	tetragonal

Cell lengths 5.1757, 5.1757, 5.2323 Å; angles 90.00, 90.00, 90.00 degrees
Closest atoms and distances in Å follow each position.
Sites, in units of the cell vectors:
Re 0.5000 0.5000 0.5000  4 As 3.66, 8 Se 3.68
As 0.0000 0.0000 0.5000  2 Ca 2.62
Ca 0.0000 0.0000 0.0000  4 Se 2.59, 2 As 2.62
Se 0.0000 0.5000 0.0000  2 Ca 2.59
Se 0.5000 0.0000 0.0000  2 Ca 2.59

---

No. 12
A plane-wave DFT calculation with meta-GGA SCAN was carried out for a PBEsol-optimized structure of Ca2AsRh.

Output
magnetic moment	0.00	μB/atom
SG	Amm2 (38)
crystal system	orthorhombic
formation energy from the elements	-3.51	eV per formula unit

Cell lengths 3.8447, 4.4082, 5.7811 Å; angles 112.41, 90.00, 90.00 degrees
Closest atoms and distances in Å follow each position.
Sites, in units of the cell vectors:
As 0.5000 0.5590 0.1181  2 Rh 2.42
Rh 0.0000 0.6971 0.3941  2 As 2.42
Ca 0.0000 0.9808 0.9617  3 Rh 3.03-3.19, 4 As 3.04
Ca 0.5000 0.2643 0.5285  4 Rh 3.01, 3 As 3.11-3.15

---

No. 13
A plane-wave DFT calculation with meta-GGA SCAN was carried out for a PBEsol-optimized structure of CaAs2Rh.

Output
magnetic moment	0.00	μB/atom
SG	Fm-3m (225)
crystal system	cubic
formation energy from the elements	-1.77	eV per formula unit

Cell lengths 4.6328, 4.6328, 4.6328 Å; angles 60.00, 60.00, 60.00 degrees
Closest atoms and distances in Å follow each position.
Sites, in units of the cell vectors:
As 0.7500 0.7500 0.7500  4 Ca 2.84, 4 Rh 2.84
As 0.2500 0.2500 0.2500  4 Ca 2.84, 4 Rh 2.84
Rh 0.0000 0.0000 0.0000  8 As 2.84
Ca 0.5000 0.5000 0.5000  8 As 2.84

---

No. 14
A plane-wave DFT calculation with meta-GGA SCAN was carried out for a PBEsol-optimized structure of CaAs2Rh.

Output
magnetic moment	0.00	μB/atom
SG	R-3m (166)
crystal system	trigonal
formation energy from the elements	-3.39	eV per formula unit

Cell lengths 4.1221, 4.1198, 5.6607 Å; angles 111.35, 90.00, 120.02 degrees
Closest atoms and distances in Å follow each position.
Sites, in units of the cell vectors:
As 0.7787 0.5575 0.8361  3 Rh 2.52
As 0.2213 0.4425 0.1639  3 Rh 2.52
Rh 0.5000 0.0000 0.0000  6 As 2.52
Ca 0.0000 0.0000 0.5000  6 As 2.94

---

No. 15
A plane-wave DFT calculation with meta-GGA SCAN was carried out for a PBEsol-optimized structure of CaAs2Rh.

Output
magnetic moment	0.00	μB/atom
SG	Pm (6)
crystal system	monoclinic
formation energy from the elements	-2.43	eV per formula unit

Cell lengths 3.9626, 4.7307, 4.6624 Å; angles 103.86, 90.00, 90.00 degrees
Closest atoms and distances in Å follow each position.
Sites, in units of the cell vectors:
As 0.0000 0.9955 0.8551  2 Rh 2.42, 2 As 2.68
As 0.5000 0.8017 0.1461  2 Rh 2.36-2.55
Rh 0.5000 0.2887 0.0010  4 As 2.36-2.55
Ca 0.0000 0.4142 0.4979  3 As 2.85-3.17, 2 Rh 3.00

---

No. 16
A plane-wave DFT calculation with meta-GGA SCAN was carried out for a PBEsol-optimized structure of CaAs2Rh.

Output
magnetic moment	0.00	μB/atom
SG	P4/mmm (123)
crystal system	tetragonal
formation energy from the elements	-1.57	eV per formula unit

Cell lengths 3.8393, 4.2705, 4.2704 Å; angles 90.00, 90.00, 90.00 degrees
Closest atoms and distances in Å follow each position.
Sites, in units of the cell vectors:
As 0.0000 0.0000 0.0000  4 Rh 2.87, 4 Ca 2.87, 4 As 3.02
As 0.0000 0.5000 0.5000  4 Ca 2.87, 4 Rh 2.87, 4 As 3.02
Rh 0.5000 0.0000 0.5000  8 As 2.87, 4 Ca 3.02
Ca 0.5000 0.5000 0.0000  8 As 2.87, 4 Rh 3.02

---

No. 17
A plane-wave DFT calculation with meta-GGA SCAN was carried out for a PBEsol-optimized structure of CaTaAs2Rh.

Output
magnetic moment	0.21	μB/atom
SG	P4/mmm (123)
crystal system	tetragonal
formation energy from the elements	4.38	eV per formula unit

Cell lengths 4.8371, 4.8371, 5.3624 Å; angles 90.00, 90.00, 90.00 degrees
Closest atoms and distances in Å follow each position.
Sites, in units of the cell vectors:
As 0.0000 0.5000 0.0000  2 Ta 2.42
As 0.5000 0.0000 0.0000  2 Ta 2.42
Rh 0.5000 0.5000 0.5000  4 Ca 3.42, 8 As 3.61
Ca 0.0000 0.0000 0.5000  2 Ta 2.68
Ta 0.0000 0.0000 0.0000  4 As 2.42, 2 Ca 2.68

---

No. 18
A plane-wave DFT calculation with meta-GGA SCAN was carried out for a PBEsol-optimized structure of CaAsRu.

Output
magnetic moment	0.00	μB/atom
SG	F-43m (216)
crystal system	cubic
formation energy from the elements	2.18	eV per formula unit

Cell lengths 4.4647, 4.4647, 4.4647 Å; angles 60.00, 60.00, 60.00 degrees
Closest atoms and distances in Å follow each position.
Sites, in units of the cell vectors:
Ru 0.0000 0.0000 0.0000  4 Ca 2.73
As 0.5000 0.5000 0.5000  4 Ca 2.73
Ca 0.2500 0.2500 0.2500  4 As 2.73, 4 Ru 2.73

---

No. 19
A plane-wave DFT calculation with meta-GGA SCAN was carried out for a PBEsol-optimized structure of CaAs3Ru.

Output
magnetic moment	0.56	μB/atom
SG	Pm-3m (221)
crystal system	cubic
formation energy from the elements	7.60	eV per formula unit

Cell lengths 5.0740, 5.0740, 5.0740 Å; angles 90.00, 90.00, 90.00 degrees
Closest atoms and distances in Å follow each position.
Sites, in units of the cell vectors:
Ru 0.5000 0.5000 0.5000  12 As 3.59
As 0.0000 0.5000 0.0000  2 Ca 2.54
As 0.0000 0.0000 0.5000  2 Ca 2.54
As 0.5000 0.0000 0.0000  2 Ca 2.54
Ca 0.0000 0.0000 0.0000  6 As 2.54

---

No. 20
A plane-wave DFT calculation with meta-GGA SCAN was carried out for a PBEsol-optimized structure of CaAsRu.

Output
magnetic moment	0.00	μB/atom
SG	P-6m2 (187)
crystal system	hexagonal
formation energy from the elements	-1.67	eV per formula unit

Cell lengths 4.0941, 4.0941, 4.2544 Å; angles 90.00, 90.00, 120.00 degrees
Closest atoms and distances in Å follow each position.
Sites, in units of the cell vectors:
Ru 0.6667 0.3333 0.5000  3 As 2.36
As 0.0000 0.0000 0.5000  3 Ru 2.36
Ca 0.3333 0.6667 0.0000  6 As 3.18, 6 Ru 3.18